[1]
A relaxed structure of Mg2CdSbPd4. Source: Alexandria, functional PBE.

**Symmetry**: R-3m (166)
**Total DFT energy (no corrections)**: -33.87 eV/f.u.
**Calculated volume**: 17.1 Å³/atom
**ΔE_f (raw)**: -0.609 eV/atom

Structure (POSCAR):
```
Mg2CdSbPd4
1.0
2.303 1.330 7.457
-2.303 1.330 7.457
0.000 -2.660 7.457
Mg Cd Sb Pd
2 1 1 4
direct
0.246 0.246 0.246
0.754 0.754 0.754
0.500 0.500 0.500
0.000 0.000 0.000
0.123 0.123 0.123
0.372 0.372 0.372
0.628 0.628 0.628
0.877 0.877 0.877
```

[2]
A relaxed structure of MgScCd2Pd4. Source: Alexandria, functional PBE.

**Symmetry**: R-3m (166)
**Total DFT energy (no corrections)**: -35.69 eV/f.u.
**Calculated volume**: 17.3 Å³/atom
**Energy of formation from the pure elements**: -0.6459 eV per atom

Structure (POSCAR):
```
MgScCd2Pd4
1.0
2.310 1.334 7.486
-2.310 1.334 7.486
0.000 -2.668 7.486
Mg Sc Cd Pd
1 1 2 4
direct
0.000 0.000 0.000
0.500 0.500 0.500
0.250 0.250 0.250
0.750 0.750 0.750
0.124 0.124 0.124
0.375 0.375 0.375
0.625 0.625 0.625
0.876 0.876 0.876
```

[3]
A relaxed structure of Mg2Sc5CdPd2. Source: Alexandria, functional PBE.

**Symmetry**: P4/mbm (127)
**Total DFT energy (no corrections)**: -50.09 eV/f.u.
**Calculated volume**: 22.4 Å³/atom
**Energy of formation from the pure elements**: -0.3941 eV per atom

Structure (POSCAR):
```
Mg2Sc5CdPd2
1.0
11.302 0.000 0.000
0.000 11.302 0.000
0.000 0.000 3.505
Mg Sc Cd Pd
4 10 2 4
direct
0.174 0.326 0.000
0.326 0.826 0.000
0.674 0.174 0.000
0.826 0.674 0.000
0.000 0.500 0.500
0.070 0.798 0.500
0.202 0.070 0.500
0.298 0.570 0.500
0.430 0.298 0.500
0.500 0.000 0.500
0.570 0.702 0.500
0.702 0.430 0.500
0.798 0.930 0.500
0.930 0.202 0.500
0.000 0.000 0.000
0.500 0.500 0.000
0.130 0.630 0.000
0.370 0.130 0.000
0.630 0.870 0.000
0.870 0.370 0.000
```

[4]
A relaxed structure of MgScCdPd. Source: Alexandria, functional PBE.

**Symmetry**: P4mm (99)
**Total DFT energy (no corrections)**: -16.20 eV/f.u.
**Calculated volume**: 19.4 Å³/atom
**Energy of formation from the pure elements**: -0.5414 eV per atom

Structure (POSCAR):
```
MgScCdPd
1.0
3.300 0.000 0.000
0.000 3.300 0.000
0.000 0.000 7.121
Mg Sc Cd Pd
1 1 1 1
direct
0.000 0.000 0.000
0.000 0.000 0.556
0.500 0.500 0.269
0.500 0.500 0.774
```

[5]
A relaxed structure of Mg2CdSi2Pd5. Source: Alexandria, functional PBE.

**Symmetry**: P4/mbm (127)
**Total DFT energy (no corrections)**: -46.76 eV/f.u.
**Calculated volume**: 16.6 Å³/atom
**ΔE_f (raw)**: -0.584 eV/atom

Structure (POSCAR):
```
Mg2CdSi2Pd5
1.0
9.742 0.000 0.000
0.000 9.742 0.000
0.000 0.000 3.489
Mg Cd Si Pd
4 2 4 10
direct
0.172 0.328 0.000
0.328 0.828 0.000
0.672 0.172 0.000
0.828 0.672 0.000
0.000 0.000 0.000
0.500 0.500 0.000
0.126 0.626 0.000
0.374 0.126 0.000
0.626 0.874 0.000
0.874 0.374 0.000
0.000 0.500 0.500
0.074 0.788 0.500
0.212 0.074 0.500
0.288 0.574 0.500
0.426 0.288 0.500
0.500 0.000 0.500
0.574 0.712 0.500
0.712 0.426 0.500
0.788 0.926 0.500
0.926 0.212 0.500
```

[6]
A relaxed structure of MgCdSnPd2. Source: Alexandria, functional PBE.

**Symmetry**: P4/mmm (123)
**Total DFT energy (no corrections)**: -15.21 eV/f.u.
**Calculated volume**: 26.1 Å³/atom
**Energy of formation from the pure elements**: 0.3382 eV per atom

Structure (POSCAR):
```
MgCdSnPd2
1.0
5.019 0.000 0.000
0.000 5.019 0.000
0.000 0.000 5.178
Mg Cd Sn Pd
1 1 1 2
direct
0.000 0.000 0.000
0.500 0.500 0.000
0.500 0.500 0.500
0.000 0.500 0.500
0.500 0.000 0.500
```

[7]
A relaxed structure of Mg5Cd2SnPd2. Source: Alexandria, functional PBE.

**Symmetry**: P4/mbm (127)
**Total DFT energy (no corrections)**: -27.08 eV/f.u.
**Calculated volume**: 21.4 Å³/atom
**Energy of formation from the pure elements**: -0.2889 eV per atom

Structure (POSCAR):
```
Mg5Cd2SnPd2
1.0
10.943 0.000 0.000
0.000 10.943 0.000
0.000 0.000 3.566
Mg Cd Sn Pd
10 4 2 4
direct
0.000 0.500 0.000
0.084 0.204 0.000
0.204 0.916 0.000
0.296 0.416 0.000
0.416 0.704 0.000
0.500 0.000 0.000
0.584 0.296 0.000
0.704 0.584 0.000
0.796 0.084 0.000
0.916 0.796 0.000
0.166 0.666 0.500
0.334 0.166 0.500
0.666 0.834 0.500
0.834 0.334 0.500
0.000 0.000 0.500
0.500 0.500 0.500
0.126 0.374 0.500
0.374 0.874 0.500
0.626 0.126 0.500
0.874 0.626 0.500
```

[8]
A relaxed structure of Mg2CdSnPd4. Source: Alexandria, functional PBE.

**Symmetry**: R-3m (166)
**Total DFT energy (no corrections)**: -33.97 eV/f.u.
**Calculated volume**: 17.0 Å³/atom
**Energy of formation from the pure elements**: -0.6360 eV per atom

Structure (POSCAR):
```
Mg2CdSnPd4
1.0
2.294 1.324 7.455
-2.294 1.324 7.455
0.000 -2.649 7.455
Mg Cd Sn Pd
2 1 1 4
direct
0.247 0.247 0.247
0.753 0.753 0.753
0.500 0.500 0.500
0.000 0.000 0.000
0.123 0.123 0.123
0.372 0.372 0.372
0.628 0.628 0.628
0.877 0.877 0.877
```

[9]
A relaxed structure of MgCdSnPd. Source: Alexandria, functional PBE.

**Symmetry**: F-43m (216)
**Total DFT energy (no corrections)**: -12.59 eV/f.u.
**Calculated volume**: 20.0 Å³/atom
**Energy of formation from the pure elements**: -0.2199 eV per atom

Structure (POSCAR):
```
MgCdSnPd
1.0
0.000 3.419 3.419
3.419 0.000 3.419
3.419 3.419 0.000
Mg Cd Sn Pd
1 1 1 1
direct
0.000 0.000 0.000
0.250 0.250 0.250
0.500 0.500 0.500
0.750 0.750 0.750
```

[10]
A relaxed structure of SrMg6CdPd. Source: Alexandria, functional PBE.

**Symmetry**: Imma (74)
**Total DFT energy (no corrections)**: -18.16 eV/f.u.
**Calculated volume**: 26.1 Å³/atom
**Energy of formation from the pure elements**: -0.0889 eV per atom

Structure (POSCAR):
```
SrMg6CdPd
1.0
-3.663 5.006 6.417
3.663 -5.006 6.417
3.663 5.006 -6.417
Sr Mg Cd Pd
2 12 2 2
direct
0.447 0.197 0.250
0.553 0.803 0.750
0.116 0.414 0.284
0.116 0.832 0.702
0.181 0.931 0.250
0.259 0.509 0.750
0.370 0.168 0.784
0.370 0.586 0.202
0.630 0.414 0.798
0.630 0.832 0.216
0.741 0.491 0.250
0.819 0.069 0.750
0.884 0.168 0.298
0.884 0.586 0.716
0.000 0.000 0.500
0.000 0.500 0.000
0.000 0.000 0.000
0.500 0.000 0.500
```

[11]
A relaxed structure of Sr2MgCd6Pd. Source: Alexandria, functional PBE.

**Symmetry**: R-3m (166)
**Total DFT energy (no corrections)**: -18.21 eV/f.u.
**Calculated volume**: 27.5 Å³/atom
**Energy of formation from the pure elements**: -0.2569 eV per atom

Structure (POSCAR):
```
Sr2MgCd6Pd
1.0
3.615 2.087 12.171
-3.615 2.087 12.171
0.000 -4.174 12.171
Sr Mg Cd Pd
4 2 12 2
direct
0.106 0.106 0.106
0.280 0.280 0.280
0.720 0.720 0.720
0.894 0.894 0.894
0.428 0.428 0.428
0.572 0.572 0.572
0.072 0.670 0.670
0.224 0.224 0.647
0.224 0.647 0.224
0.330 0.330 0.928
0.330 0.928 0.330
0.353 0.776 0.776
0.647 0.224 0.224
0.670 0.072 0.670
0.670 0.670 0.072
0.776 0.353 0.776
0.776 0.776 0.353
0.928 0.330 0.330
0.000 0.000 0.000
0.500 0.500 0.500
```

[12]
A relaxed structure of Sr2MgCdPd. Source: Alexandria, functional PBE.

**Symmetry**: P4/mmm (123)
**Total DFT energy (no corrections)**: -12.56 eV/f.u.
**Calculated volume**: 34.9 Å³/atom
**Energy of formation from the pure elements**: -0.2989 eV per atom

Structure (POSCAR):
```
Sr2MgCdPd
1.0
5.845 0.000 0.000
0.000 5.845 0.000
0.000 0.000 5.115
Sr Mg Cd Pd
2 1 1 1
direct
0.000 0.500 0.000
0.500 0.000 0.000
0.000 0.000 0.500
0.500 0.500 0.500
0.000 0.000 0.000
```